[1]
Below is a relaxed structure of Ac4Ga3CuO12, with properties calculated at the PBE-GGA level.

Summary:
Volume in Å³ per atom: 12.6
Symmetry: Im-3m
Energy relative to the elements, uncorrected in meV per atom: -2452

a = 6.886 Å, b = 6.886 Å, c = 6.886 Å
α = 109.47°, β = 109.47°, γ = 109.47°
Sites, in units of the cell vectors:
1 Ac 0.000 0.000 0.500
2 Ac 0.000 0.500 0.000
3 Ac 0.500 0.000 0.000
4 Ac 0.500 0.500 0.500
5 Ga 0.000 0.500 0.500
6 Ga 0.500 0.000 0.500
7 Ga 0.500 0.500 0.000
8 Cu 0.000 0.000 0.000
9 O 0.000 0.252 0.252
10 O 0.000 0.748 0.748
11 O 0.250 0.500 0.750
12 O 0.250 0.750 0.500
13 O 0.252 0.000 0.252
14 O 0.252 0.252 0.000
15 O 0.500 0.250 0.750
16 O 0.500 0.750 0.250
17 O 0.748 0.000 0.748
18 O 0.748 0.748 0.000
19 O 0.750 0.250 0.500
20 O 0.750 0.500 0.250

=====

[2]
Below is a relaxed structure of Ac4GaCu3O12, with properties calculated at the PBE-GGA level.

Summary:
Volume in Å³ per atom: 12.4
Symmetry: Im-3m
Energy relative to the elements, uncorrected in meV per atom: -2143

a = 6.851 Å, b = 6.851 Å, c = 6.851 Å
α = 109.47°, β = 109.47°, γ = 109.47°
Sites, in units of the cell vectors:
1 Ac 0.000 0.000 0.500
2 Ac 0.000 0.500 0.000
3 Ac 0.500 0.000 0.000
4 Ac 0.500 0.500 0.500
5 Ga 0.000 0.000 0.000
6 Cu 0.000 0.500 0.500
7 Cu 0.500 0.000 0.500
8 Cu 0.500 0.500 0.000
9 O 0.000 0.250 0.250
10 O 0.000 0.750 0.750
11 O 0.250 0.000 0.250
12 O 0.250 0.250 0.000
13 O 0.250 0.500 0.750
14 O 0.250 0.750 0.500
15 O 0.500 0.250 0.750
16 O 0.500 0.750 0.250
17 O 0.750 0.000 0.750
18 O 0.750 0.250 0.500
19 O 0.750 0.500 0.250
20 O 0.750 0.750 0.000

=====

[3]
Below is a relaxed structure of Ac3GaCu2O9, with properties calculated at the PBE-GGA level.

Summary:
Volume in Å³ per atom: 12.4
Symmetry: P-3m1
Energy relative to the elements, uncorrected in meV per atom: -2190

a = 5.606 Å, b = 5.606 Å, c = 6.841 Å
α = 90.00°, β = 90.00°, γ = 120.00°
Sites, in units of the cell vectors:
1 Ac 0.000 0.000 0.000
2 Ac 0.333 0.667 0.668
3 Ac 0.667 0.333 0.332
4 Ga 0.000 0.000 0.500
5 Cu 0.333 0.667 0.165
6 Cu 0.667 0.333 0.835
7 O 0.000 0.500 0.000
8 O 0.166 0.332 0.333
9 O 0.166 0.834 0.333
10 O 0.332 0.166 0.667
11 O 0.500 0.000 0.000
12 O 0.500 0.500 0.000
13 O 0.668 0.834 0.333
14 O 0.834 0.166 0.667
15 O 0.834 0.668 0.667

=====

[4]
Below is a relaxed structure of AcGaCuPb, with properties calculated at the PBE-GGA level.

Summary:
Energy of formation in eV/atom: -0.1752
Volume in Å³ per atom: 25.3
Symmetry: F-43m

a = 5.234 Å, b = 5.234 Å, c = 5.234 Å
α = 60.00°, β = 60.00°, γ = 60.00°
Sites, in units of the cell vectors:
1 Ac 0.000 0.000 0.000
2 Ga 0.750 0.750 0.750
3 Cu 0.250 0.250 0.250
4 Pb 0.500 0.500 0.500

=====

What did the first record say?
Below is a relaxed structure of Ac4Ga3CuO12, with properties calculated at the PBE-GGA level.

Summary:
Volume in Å³ per atom: 12.6
Symmetry: Im-3m
Energy relative to the elements, uncorrected in meV per atom: -2452

a = 6.886 Å, b = 6.886 Å, c = 6.886 Å
α = 109.47°, β = 109.47°, γ = 109.47°
Sites, in units of the cell vectors:
1 Ac 0.000 0.000 0.500
2 Ac 0.000 0.500 0.000
3 Ac 0.500 0.000 0.000
4 Ac 0.500 0.500 0.500
5 Ga 0.000 0.500 0.500
6 Ga 0.500 0.000 0.500
7 Ga 0.500 0.500 0.000
8 Cu 0.000 0.000 0.000
9 O 0.000 0.252 0.252
10 O 0.000 0.748 0.748
11 O 0.250 0.500 0.750
12 O 0.250 0.750 0.500
13 O 0.252 0.000 0.252
14 O 0.252 0.252 0.000
15 O 0.500 0.250 0.750
16 O 0.500 0.750 0.250
17 O 0.748 0.000 0.748
18 O 0.748 0.748 0.000
19 O 0.750 0.250 0.500
20 O 0.750 0.500 0.250